[1]
An optimized crystal structure of RbBa2SrAu, computed with PBE.

Computed properties:
- energy above the most stable polymorph in this dataset (meV/atom) = 0.0

Cell and atoms, written as CIF:
```
data_RbBa2SrAu
_symmetry_space_group_name_H-M 'P 4/m m m'
_symmetry_Int_Tables_number 123
_symmetry_space_group_name_Hall '-P 4 2'
_cell_length_a 6.624
_cell_length_b 6.624
_cell_length_c 6.355
_cell_angle_alpha 90.00
_cell_angle_beta 90.00
_cell_angle_gamma 90.00
loop_
_atom_site_label
_atom_site_type_symbol
_atom_site_fract_x
_atom_site_fract_y
_atom_site_fract_z
Rb1 Rb 0.000 0.000 0.000
Ba1 Ba 0.000 0.500 0.500
Sr1 Sr 0.500 0.500 0.000
Au1 Au 0.500 0.500 0.500
```

[2]
An optimized crystal structure of Ru2W, computed with PBE.

Cell and atoms, written as CIF:
```
data_Ru2W
_symmetry_space_group_name_H-M 'C 1 m 1'
_symmetry_Int_Tables_number 8
_cell_length_a 10.036
_cell_length_b 2.775
_cell_length_c 6.509
_cell_angle_alpha 90.00
_cell_angle_beta 104.16
_cell_angle_gamma 90.00
loop_
_symmetry_equiv_pos_as_xyz
'x,y,z'
'x,-y,z'
'x+1/2,y+1/2,z'
'x+1/2,-y+1/2,z'
loop_
_atom_site_label
_atom_site_type_symbol
_atom_site_fract_x
_atom_site_fract_y
_atom_site_fract_z
Ru1 Ru 0.000 0.000 0.000
Ru2 Ru 0.057 0.000 0.611
Ru3 Ru 0.167 0.500 0.337
Ru4 Ru 0.335 0.000 0.668
W1 W 0.218 0.500 0.944
W2 W 0.392 0.000 0.285
```

| no. | DOS at the Fermi energy (states/eV/cell) | final energy (eV/atom) | energy of formation from the pure elements (kJ/mol of formula units) |
| --- | --- | --- | --- |
| 1 | 4.48 | -2.240 | -138 |
| 2 | 10.16 | -10.500 | 1 |